This record from Alexandria via LeMat-Bulk describes Ga5AgRu4 after structural relaxation. The functional is PBE-GGA.

POSCAR file:
```
Ga5AgRu4
1.0
3.094 0.000 0.000
0.000 3.094 0.000
0.000 0.000 15.189
Ga Ag Ru
5 1 4
direct
0.000 0.000 0.000 Ga
0.000 0.000 0.194 Ga
0.000 0.000 0.382 Ga
0.000 0.000 0.618 Ga
0.000 0.000 0.806 Ga
0.500 0.500 0.500 Ag
0.500 0.500 0.098 Ru
0.500 0.500 0.297 Ru
0.500 0.500 0.703 Ru
0.500 0.500 0.902 Ru
```

- E_form (eV/f.u.) = -2.3
- symmetry = P4/mmm (123)
- size of the total moment (μB/cell) = 0.000
- calculated volume (Å³/f.u.) = 145.4
- VASP energy (eV for the cell shown) = -57.43